[1]
TlHRu2 after structural relaxation, computed with PBE-GGA.

Lattice parameters (Å, degrees): 6.040 6.040 6.082 90.00 90.00 90.00
Space group I-42d (No. 122)
Unique sites:
Tl 0.000 0.000 0.000
H 0.000 0.000 0.500
Ru 0.118 0.250 0.625

Output
ΔE to the lowest computed polymorph = 0 meV per atom

***

[2]
TcIr5Rh2 after structural relaxation, computed with PBE-GGA.

Lattice parameters (Å, degrees): 3.865 3.865 15.453 90.00 90.00 90.00
Space group I4/mmm (No. 139)
Unique sites:
Tc 0.000 0.000 0.000
Ir 0.000 0.000 0.500
Ir 0.000 0.500 0.123
Rh 0.000 0.000 0.253

Output
ΔE to the lowest computed polymorph = 0 meV per atom
energy relative to the elements = -0.094 eV per atom

***

[3]
PmEr3Bi4 after structural relaxation, computed with PBE-GGA.

Lattice parameters (Å, degrees): 6.334 6.334 6.334 90.00 90.00 90.00
Space group Pm-3m (No. 221)
Unique sites:
Pm 0.000 0.000 0.000
Er 0.000 0.500 0.500
Bi 0.000 0.000 0.500
Bi 0.500 0.500 0.500

Output
energy relative to the elements = -0.841 eV per atom

***

Number 1: mass density 12.2 g/cm³. Number 2: mass density 18.2 g/cm³. Number 3: mass density 9.7 g/cm³.